# 1
# Ac6RuN2 (GGA-PBE, relaxed)
# Calculated volume   35.85 A^3/atom
# E above lowest polymorph   21 meV per atom
# Raw formation energy   -528 meV/atom
data_Ac6RuN2
_chemical_formula_sum 'Ac24 Ru4 N8'
_space_group_name_H-M_alt 'C 1 2/c 1'
_space_group_IT_number 15
_cell_length_a 14.5944
_cell_length_b 12.7110
_cell_length_c 7.4300
_cell_angle_alpha 90.00
_cell_angle_beta 110.54
_cell_angle_gamma 90.00
loop_
_space_group_symop_operation_xyz
'x,y,z'
'-x,-y,-z'
'-x,y,-z+1/2'
'x,-y,z+1/2'
'x+1/2,y+1/2,z'
'-x+1/2,-y+1/2,-z'
'-x+1/2,y+1/2,-z+1/2'
'x+1/2,-y+1/2,z+1/2'
loop_
_atom_site_label
_atom_site_type_symbol
_atom_site_fract_x
_atom_site_fract_y
_atom_site_fract_z
_atom_site_occupancy
Ac1 Ac 0.1079 0.0785 0.4964 1
Ac2 Ac 0.1215 0.4276 0.6409 1
Ac3 Ac 0.1229 0.2559 0.0893 1
Ru1 Ru 0.0000 0.4030 0.2500 1
N1 N 0.0751 0.0841 0.1378 1

***

# 2
# Te2RhBr (GGA-PBE, relaxed)
# Calculated volume   24.77 A^3/atom
# Raw formation energy   116 meV/atom
data_Te2RhBr
_chemical_formula_sum 'Te4 Rh2 Br2'
_space_group_name_H-M_alt 'I m m m'
_space_group_IT_number 71
_space_group_name_Hall '-I 2 2'
_cell_length_a 3.2866
_cell_length_b 5.1695
_cell_length_c 11.6642
_cell_angle_alpha 90.00
_cell_angle_beta 90.00
_cell_angle_gamma 90.00
loop_
_atom_site_label
_atom_site_type_symbol
_atom_site_fract_x
_atom_site_fract_y
_atom_site_fract_z
_atom_site_occupancy
Te1 Te 0.0000 0.0000 0.1840 1
Rh1 Rh 0.0000 0.5000 0.5000 1
Br1 Br 0.0000 0.5000 0.0000 1